# 1
VASP calculation (PBE-GGA) on Ta2Be16Zn after structural relaxation.

extended XYZ file:
```
19
Lattice="3.724 2.150 3.613 -3.724 2.150 3.613 0.000 -4.300 3.613" Properties=species:S:1:pos:R:3 pbc="T T T"
Ta 0.000 0.000 0.000
Ta 0.000 0.000 3.388
Be 0.000 -2.075 1.786
Be -1.797 1.038 1.786
Be -1.821 -1.052 5.278
Be 0.000 -2.188 5.170
Be -1.895 1.094 5.170
Be -1.123 -1.941 7.082
Be -2.243 -0.002 7.082
Be 1.797 1.038 1.786
Be 0.000 0.000 5.926
Be 1.821 -1.052 5.278
Be 0.000 2.103 5.278
Be 1.123 -1.941 7.082
Be -1.120 1.943 7.082
Be 1.895 1.094 5.170
Be 2.243 -0.002 7.082
Be 1.120 1.943 7.082
Zn 0.000 0.000 8.138
```

Values from the calculation:
Space group: R3m, No. 160
Formation enthalpy at 0 K (eV per atom): -0.17

---

# 2
VASP calculation (PBE-GGA) on SmTh2Rh2 after structural relaxation.

extended XYZ file:
```
10
Lattice="7.938 0.000 0.000 0.000 7.938 0.000 0.000 0.000 3.884" Properties=species:S:1:pos:R:3 pbc="T T T"
Sm 0.000 0.000 0.000
Sm 3.969 3.969 0.000
Th 1.322 2.647 1.942
Th 2.647 6.616 1.942
Th 5.291 1.322 1.942
Th 6.616 5.291 1.942
Rh 1.057 5.026 0.000
Rh 2.912 1.057 0.000
Rh 5.026 6.880 0.000
Rh 6.880 2.912 0.000
```

Values from the calculation:
Offset from the most stable computed form (meV per atom): 0
Space group: P4/mbm, No. 127
Formation enthalpy at 0 K (eV per atom): -0.71